(1)
Compound: Rb2RhAuF6
Source: the Alexandria database
Functional: GGA-PBE
Structure: relaxed

Cell lengths 6.2930, 6.2930, 6.2803 Å; angles 59.93, 59.93, 90.00 degrees
Sites, in units of the cell vectors:
Rh (0.5000, 0.5000, 0.0000)
Au (0.0000, 0.0000, 0.0000)
Rb (0.7500, 0.2500, 0.5000)
Rb (0.2500, 0.7500, 0.5000)
F (0.2696, 0.2696, 0.4608)
F (0.7304, 0.7304, 0.5392)
F (0.2707, 0.2707, 0.0000)
F (0.7293, 0.7293, 0.0000)
F (0.7293, 0.2707, 0.0000)
F (0.2707, 0.7293, 0.0000)

Results
crystal system	tetragonal
ρ	5.5	g/cm3
uncorrected energy	-4.21	eV/atom
size of the total moment	0.00	μB/f.u.
formation energy (no corrections)	-1.83	eV/atom

=====

(2)
Compound: Rb8SbAu2F
Source: the Alexandria database
Functional: GGA-PBE
Structure: relaxed

Cell lengths 8.0859, 8.0576, 9.9068 Å; angles 90.00, 90.00, 88.69 degrees
Sites, in units of the cell vectors:
Rb (0.1778, 0.7993, 0.2149)
Rb (0.7322, 0.7533, 0.0001)
Rb (0.8223, 0.2007, 0.2149)
Rb (0.8222, 0.2007, 0.7851)
Rb (0.2678, 0.2467, 0.9999)
Rb (0.1777, 0.7993, 0.7851)
Rb (0.6754, 0.7069, 0.5000)
Rb (0.3246, 0.2931, 0.5000)
Sb (0.0000, 0.0000, 0.5000)
Au (0.5000, 0.5001, 0.7841)
Au (0.5000, 0.4999, 0.2159)
F (0.0000, 0.0000, 0.0000)

Results
crystal system	monoclinic
ρ	3.1	g/cm3
uncorrected energy	-2.28	eV/atom
size of the total moment	0.03	μB/f.u.
formation energy (no corrections)	-0.59	eV/atom

=====

(3)
Compound: Rb2SiAuF6
Source: the Alexandria database
Functional: GGA-PBE
Structure: relaxed

Cell lengths 6.4821, 6.4821, 6.4817 Å; angles 60.00, 60.00, 90.00 degrees
Sites, in units of the cell vectors:
Si (0.5000, 0.5000, 0.0000)
Au (0.0000, 0.0000, 0.0000)
Rb (0.7500, 0.2500, 0.5000)
Rb (0.2500, 0.7500, 0.5000)
F (0.3122, 0.3122, 0.3756)
F (0.6878, 0.6878, 0.6244)
F (0.3122, 0.3122, 0.0000)
F (0.6878, 0.6878, 0.0000)
F (0.6878, 0.3122, 0.0000)
F (0.3122, 0.6878, 0.0000)

Results
crystal system	cubic
ρ	4.4	g/cm3
uncorrected energy	-4.68	eV/atom
size of the total moment	0.98	μB/f.u.
formation energy (no corrections)	-2.49	eV/atom

=====

(4)
Compound: Rb2SrAuF6
Source: the Alexandria database
Functional: GGA-PBE
Structure: relaxed

Cell lengths 6.7556, 6.7556, 6.5544 Å; angles 58.98, 58.98, 90.00 degrees
Sites, in units of the cell vectors:
Sr (0.5000, 0.5000, 0.0000)
Au (0.0000, 0.0000, 0.0000)
Rb (0.7500, 0.2500, 0.5000)
Rb (0.2500, 0.7500, 0.5000)
F (0.2337, 0.2337, 0.5327)
F (0.7663, 0.7663, 0.4673)
F (0.2524, 0.2524, 0.0000)
F (0.7476, 0.7476, 0.0000)
F (0.7476, 0.2524, 0.0000)
F (0.2524, 0.7476, 0.0000)

Results
crystal system	tetragonal
ρ	4.6	g/cm3
uncorrected energy	-4.28	eV/atom
size of the total moment	1.00	μB/f.u.
formation energy (no corrections)	-2.47	eV/atom

=====

(5)
Compound: Rb2TaAuF6
Source: the Alexandria database
Functional: GGA-PBE
Structure: relaxed

Cell lengths 7.2321, 7.2321, 7.2317 Å; angles 60.00, 60.00, 90.00 degrees
Sites, in units of the cell vectors:
F (0.3118, 0.3118, 0.3763)
F (0.6882, 0.6882, 0.6237)
F (0.3119, 0.3119, 0.0000)
F (0.6881, 0.6881, 0.0000)
F (0.6881, 0.3119, 0.0000)
F (0.3119, 0.6881, 0.0000)
Au (0.0000, 0.0000, 0.0000)
Rb (0.7500, 0.2500, 0.5000)
Rb (0.2500, 0.7500, 0.5000)
Ta (0.5000, 0.5000, 0.0000)

Results
crystal system	cubic
ρ	4.1	g/cm3
uncorrected energy	-5.33	eV/atom
size of the total moment	0.00	μB/f.u.
formation energy (no corrections)	-2.50	eV/atom

=====

(6)
Compound: Rb2TcAuF6
Source: the Alexandria database
Functional: GGA-PBE
Structure: relaxed

Cell lengths 6.6915, 6.6915, 6.6866 Å; angles 59.98, 59.98, 90.00 degrees
Sites, in units of the cell vectors:
Au (0.0000, 0.0000, 0.0000)
Tc (0.5000, 0.5000, 0.0000)
Rb (0.7500, 0.2500, 0.5000)
Rb (0.2500, 0.7500, 0.5000)
F (0.2906, 0.2906, 0.4187)
F (0.7094, 0.7094, 0.5813)
F (0.2909, 0.2909, 0.0000)
F (0.7091, 0.7091, 0.0000)
F (0.7091, 0.2909, 0.0000)
F (0.2909, 0.7091, 0.0000)

Results
crystal system	tetragonal
ρ	4.6	g/cm3
uncorrected energy	-4.65	eV/atom
size of the total moment	4.00	μB/f.u.
formation energy (no corrections)	-1.97	eV/atom

=====

(7)
Compound: RbTc2AuF
Source: the Alexandria database
Functional: GGA-PBE
Structure: relaxed

Cell lengths 5.0529, 7.2238, 5.0529 Å; angles 90.00, 90.00, 90.00 degrees
Sites, in units of the cell vectors:
Au (0.0000, 0.0000, 0.0000)
Tc (0.0000, 0.0000, 0.5000)
Tc (0.5000, 0.0000, 0.0000)
Rb (0.0000, 0.5000, 0.0000)
F (0.5000, 0.5000, 0.5000)

Results
crystal system	tetragonal
ρ	4.5	g/cm3
uncorrected energy	-4.35	eV/atom
size of the total moment	7.56	μB/f.u.
formation energy (no corrections)	1.02	eV/atom

=====

(8)
Compound: Rb2TlAuF
Source: the Alexandria database
Functional: GGA-PBE
Structure: relaxed

Cell lengths 6.7882, 4.5128, 6.7882 Å; angles 90.00, 90.00, 90.00 degrees
Sites, in units of the cell vectors:
Tl (0.5000, 0.5000, 0.5000)
Au (0.0000, 0.0000, 0.0000)
Rb (0.0000, 0.0000, 0.5000)
Rb (0.5000, 0.0000, 0.0000)
F (0.0000, 0.5000, 0.0000)

Results
crystal system	tetragonal
ρ	4.7	g/cm3
uncorrected energy	-2.27	eV/atom
size of the total moment	0.00	μB/f.u.
formation energy (no corrections)	-0.38	eV/atom

=====

(9)
Compound: RbTlAuF6
Source: the Alexandria database
Functional: GGA-PBE
Structure: relaxed

Cell lengths 6.4629, 6.0278, 5.6504 Å; angles 88.74, 87.48, 58.19 degrees
Sites, in units of the cell vectors:
Rb (0.0147, 0.9697, 0.0016)
Tl (0.6768, 0.6466, 0.4998)
Au (0.3356, 0.3263, 0.5008)
F (0.9424, 0.4082, 0.2381)
F (0.3598, 0.9980, 0.6875)
F (0.6557, 0.3989, 0.7571)
F (0.0030, 0.6245, 0.6745)
F (0.3716, 0.6258, 0.3251)
F (0.6401, 0.0022, 0.3153)

Results
crystal system	triclinic
ρ	5.3	g/cm3
uncorrected energy	-3.71	eV/atom
size of the total moment	1.00	μB/f.u.
formation energy (no corrections)	-1.72	eV/atom